LaPr2Zn2Si4Pd2 after structural relaxation, computed with GGA-PBE.

The total energy comes out at -114.9 eV for the cell shown. The value obtained for the offset from the most stable computed form is 0.000 eV per atom.

The structure belongs to space group Immm (No. 71); the cell edges are 4.210, 4.301 and 24.564 Å and the angles 90.00°, 90.00° and 90.00°. The distinct sites, in fractional coordinates, are La at (0.000, 0.000, 0.000), Pr at (0.000, 0.500, 0.352), Zn at (0.000, 0.500, 0.098), Si at (0.000, 0.000, 0.451), Si at (0.000, 0.500, 0.197) and Pd at (0.000, 0.000, 0.250).

=====

LiYCoSi after structural relaxation, computed with GGA-PBE.

The total energy comes out at -89.0 eV for the cell shown. The value obtained for the offset from the most stable computed form is 0.000 eV per atom.

The structure belongs to space group F-43m (No. 216); the cell edges are 6.208, 6.208 and 6.208 Å and the angles 90.00°, 90.00° and 90.00°. The distinct sites, in fractional coordinates, are Li at (0.000, 0.000, 0.000), Y at (0.250, 0.250, 0.750), Co at (0.000, 0.000, 0.500) and Si at (0.250, 0.250, 0.250).

=====

ScCuHgTe3 after structural relaxation, computed with GGA-PBE.

The total energy comes out at -90.5 eV for the cell shown.

The structure belongs to space group Cmcm (No. 63); the cell edges are 3.960, 15.012 and 10.723 Å and the angles 90.00°, 90.00° and 90.00°. The distinct sites, in fractional coordinates, are Sc at (0.000, 0.000, 0.000), Cu at (0.000, 0.472, 0.250), Hg at (0.000, 0.247, 0.750), Te at (0.000, 0.086, 0.250) and Te at (0.000, 0.365, 0.062).

=====

YFeSi2Ir after structural relaxation, computed with GGA-PBE.

The total energy comes out at -78.0 eV for the cell shown.

The structure belongs to space group I-4m2 (No. 119); the cell edges are 4.030, 4.030 and 9.740 Å and the angles 90.00°, 90.00° and 90.00°. The distinct sites, in fractional coordinates, are Y at (0.000, 0.000, 0.000), Fe at (0.000, 0.500, 0.250), Si at (0.000, 0.000, 0.373) and Ir at (0.000, 0.500, 0.750).

=====

K3Rb7Cu2F12 after structural relaxation, computed with GGA-PBE.

The total energy comes out at -724.9 eV for the cell shown.

The structure belongs to space group I4_1/acd (No. 142, origin choice 2); the cell edges are 16.112, 16.112 and 13.672 Å and the angles 90.00°, 90.00° and 90.00°. The distinct sites, in fractional coordinates, are K at (0.000, 0.250, 0.125), K at (0.130, 0.000, 0.250), Rb at (0.000, 0.250, 0.375), Rb at (0.067, 0.089, 0.809), Rb at (0.199, 0.051, 0.625), Cu at (0.000, 0.000, 0.000), F at (0.030, 0.061, 0.613), F at (0.080, 0.155, 0.269) and F at (0.153, 0.022, 0.442).

=====

InPAu after structural relaxation, computed with GGA-PBE.

The total energy comes out at -10.6 eV for the cell shown.

The structure belongs to space group P-6m2 (No. 187); the cell edges are 4.9439, 4.9439 and 2.8864 Å and the angles 90.00°, 90.00° and 120.00°. The distinct sites, in fractional coordinates, are In at (0.0000, 0.0000, 0.0000), P at (0.6667, 0.3333, 0.0000) and Au at (0.3333, 0.6667, 0.0000).